A geometry-optimized Zn2CoClF structure. Source: Alexandria via LeMat-Bulk, functional GGA+U.

Summary:
Size of the total moment in Bohr magnetons per cell: 2.41
Final energy in eV/atom: -1.8257

Cell: 4.6695 4.6695 4.9710 Å, 90.00 90.00 90.00°
Closest atoms and distances in Å follow each position.
Space group P4/mmm (No. 123)
Inequivalent atoms, fractional coordinates:
Zn 0.0000 0.5000 0.0000  2 Cl 2.33
Co 0.0000 0.0000 0.5000  4 F 3.30, 8 Zn 3.41
Cl 0.5000 0.5000 0.0000  4 Zn 2.33, 2 F 2.49
F 0.5000 0.5000 0.5000  2 Cl 2.49